A plane-wave DFT calculation with PBE was carried out for an optimized crystal structure of Hf2Al4Fe.

Cell lengths 4.3282, 4.3282, 7.6192 Å; angles 73.50, 73.50, 90.00 degrees
Site moments in Bohr magnetons follow the coordinates.
Atoms (fractional coordinates):
Hf: 0.3601 0.3601 0.2798  0.03
Hf: 0.6399 0.6399 0.7202  0.03
Fe: 0.0000 0.0000 0.0000  0.44
Al: 0.1670 0.1670 0.6659  0.00
Al: 0.8330 0.8330 0.3341  0.00
Al: 0.0000 0.5000 0.0000  -0.01
Al: 0.5000 0.0000 0.0000  -0.01

Output
For the formation energy, the calculation gives 0.167 eV per atom. Its space-group type is I4/mmm. As for the total energy: -42.2 eV per formula unit.